## Sc2Al2VRu5 (PBE)

Data for crystalline Sc2Al2VRu5 at its relaxed geometry.

```
Sc2Al2VRu5
1.0
3.2016 0.0000 0.0000
0.0000 9.8367 0.0000
0.0000 0.0000 9.8367
Sc Al V Ru
4 4 2 10
Direct
0.0000 0.6691 0.1691
0.0000 0.3309 0.8309
0.0000 0.1691 0.3309
0.0000 0.8309 0.6691
0.0000 0.1306 0.6306
0.0000 0.8694 0.3694
0.0000 0.6306 0.8694
0.0000 0.3694 0.1306
0.0000 0.0000 0.0000
0.0000 0.5000 0.5000
0.5000 0.1924 0.0650
0.5000 0.8076 0.9350
0.5000 0.0650 0.8076
0.5000 0.6924 0.4350
0.5000 0.9350 0.1924
0.5000 0.3076 0.5650
0.5000 0.5650 0.6924
0.5000 0.4350 0.3076
0.5000 0.5000 0.0000
0.5000 0.0000 0.5000
```

## Properties
The calculation puts the electronic total energy at -7.990 eV per atom. The calculation puts the calculated formation energy at -426 meV/atom. The calculation puts the density of states at the Fermi level at 0.855 states/eV/atom. The calculation puts the total moment at 0.00 μB/f.u.